7
Lattice="-2.095 -0.512 4.121 -0.815 -4.260 1.681 9.327 -1.490 7.181" Properties=species:S:1:pos:R:3 comment="PBE Sr2Li2AcGe2, optimized geometry" formation_enthalpy_0k_mev_per_atom=-473.8 pbc="T T T"
Sr 5.771 -1.525 5.369
Sr 0.647 -4.737 7.615
Li -0.123 -3.164 4.794
Li 6.540 -3.098 8.189
Ac 0.000 0.000 0.000
Ge 5.576 -4.689 10.126
Ge 0.842 -1.573 2.857


5
Lattice="-3.285 -0.858 -2.364 1.828 -3.486 -1.274 -3.546 -5.524 3.313" Properties=species:S:1:pos:R:3 comment="PBE InAg2Se2, optimized geometry" formation_energy_uncorrected_ev_per_atom=0.13 e_above_lowest_polymorph_mev_per_atom=219 pbc="T T T"
Se -3.780 -4.277 -0.435
Se -1.224 -5.592 0.110
Ag -1.290 -2.840 -0.797
Ag -3.714 -7.029 0.472
In 0.000 0.000 0.000


4
Lattice="-3.850 -0.508 1.690 2.206 -0.184 3.610 -0.553 6.407 0.665" Properties=species:S:1:pos:R:3 comment="PBE LiHgBr2, optimized geometry" formation_energy_uncorrected_ev_per_atom=-0.78 e_above_lowest_polymorph_mev_per_atom=16 pbc="T T T"
Br -0.477 5.527 0.574
Br -1.009 1.828 2.876
Hg -0.205 2.377 0.247
Li -1.335 5.593 3.266


6
Lattice="-2.576 -4.240 -0.374 -0.839 -3.665 -3.259 4.140 -4.349 1.625" Properties=species:S:1:pos:R:3 comment="PBE TaSi, optimized geometry" formation_energy_uncorrected_ev_per_atom=-0.37 pbc="T T T"
Ta 0.364 -4.105 -0.599
Ta -0.852 -10.465 -2.600
Ta 2.949 -6.051 0.569
Si -3.124 -7.732 -3.424
Si 0.356 -8.279 -1.437
Si -1.053 -5.992 -1.829


5
Lattice="4.291 0.000 0.000 0.000 4.291 0.000 0.000 0.000 5.472" Properties=species:S:1:pos:R:3 comment="PBE SrTaNF2, optimized geometry" formation_energy_uncorrected_ev_per_atom=-0.27 e_above_lowest_polymorph_mev_per_atom=1460 pbc="T T T"
Sr 0.000 0.000 0.000
N 0.000 0.000 2.736
F 0.000 2.146 0.000
F 2.146 0.000 0.000
Ta 2.146 2.146 2.736


DOS(E_F) for the records above, in order: 2.12, 1.95, 0.63, 3.75, 6.80 states/eV per cell